# 1
First-principles (PBEsol) data for a relaxed structure of BaLi2Cu2, as listed in Alexandria.

DFT formation energy: 0.070 eV/atom
size of the total moment: 0.00 Bohr magnetons per cell
symmetry: I4/mmm (139)
DOS(E_F): 2.534 states/eV/f.u.

Unit cell a=4.2888 b=4.2888 c=6.5379 alpha=109.15 beta=109.15 gamma=90.00
Last column: nearest neighbours and their distance in Å.
Positions (direct):
Ba (0.0000, 0.0000, 0.0000)  8 Cu 3.27, 8 Li 3.60
Cu (0.3946, 0.3946, 0.7893)  1 Cu 2.44, 4 Li 2.72
Cu (0.6054, 0.6054, 0.2107)  1 Cu 2.44, 4 Li 2.72
Li (0.2500, 0.7500, 0.5000)  4 Cu 2.72, 4 Li 3.03
Li (0.7500, 0.2500, 0.5000)  4 Cu 2.72, 4 Li 3.03

---

# 2
First-principles (PBEsol) data for a relaxed structure of ScNi2WI, as listed in Alexandria.

formation energy from raw total energies: 150.4 kJ per mole of atoms
size of the total moment: 2.87 Bohr magnetons per cell
symmetry: P4/mmm (123)
DOS(E_F): 4.595 states/eV/f.u.

Unit cell a=4.4849 b=4.4849 c=5.1105 alpha=90.00 beta=90.00 gamma=90.00
Last column: nearest neighbours and their distance in Å.
Positions (direct):
I (0.0000, 0.0000, 0.0000)  4 Ni 2.24
Ni (0.0000, 0.5000, 0.0000)  2 I 2.24
Ni (0.5000, 0.0000, 0.0000)  2 I 2.24
Sc (0.0000, 0.0000, 0.5000)  2 I 2.56
W (0.5000, 0.5000, 0.5000)  4 Sc 3.17, 8 Ni 3.40

---

# 3
First-principles (PBEsol) data for a relaxed structure of ZrSc2Ni, as listed in Alexandria.

DFT formation energy: -0.187 eV/atom
size of the total moment: 0.00 Bohr magnetons per cell
symmetry: Imm2 (44)
DOS(E_F): 3.953 states/eV/f.u.
offset from the most stable computed form: 0.15 eV/f.u.

Unit cell a=3.2916 b=4.7623 c=5.6736 alpha=114.81 beta=106.86 gamma=90.00
Last column: nearest neighbours and their distance in Å.
Positions (direct):
Sc (0.9582, 0.4582, 0.9164)  2 Ni 2.62
Sc (0.7511, 0.7511, 0.5022)  4 Ni 2.89, 2 Sc 3.12, 2 Zr 3.14
Ni (0.2491, 0.2491, 0.4982)  2 Zr 2.61, 6 Sc 2.62-2.89
Zr (0.5416, 0.0416, 0.0833)  2 Ni 2.61

---

# 4
First-principles (PBEsol) data for a relaxed structure of SiPtBr, as listed in Alexandria.

formation energy from raw total energies: 7.2 kJ per mole of atoms
size of the total moment: 0.00 Bohr magnetons per cell
symmetry: Fmm2 (42)
DOS(E_F): 0.995 states/eV/f.u.

Unit cell a=3.3591 b=3.3591 c=5.9588 alpha=99.94 beta=99.94 gamma=112.81
Last column: nearest neighbours and their distance in Å.
Positions (direct):
Si (0.3019, 0.3019, 0.6038)  2 Pt 2.29
Br (0.0137, 0.0137, 0.0275)  2 Pt 2.68
Pt (0.6844, 0.6844, 0.3688)  2 Si 2.29

---

# 5
First-principles (PBEsol) data for a relaxed structure of Cr2InRe, as listed in Alexandria.

DFT formation energy: 0.492 eV/atom
size of the total moment: 0.00 Bohr magnetons per cell
symmetry: R-3m (166)
DOS(E_F): 4.775 states/eV/f.u.

Unit cell a=2.8040 b=2.8040 c=8.7033 alpha=80.73 beta=80.73 gamma=60.00
Last column: nearest neighbours and their distance in Å.
Positions (direct):
Cr (0.2433, 0.2433, 0.2702)  3 Re 2.55, 6 Cr 2.80, 3 In 2.82
Cr (0.7567, 0.7567, 0.7298)  3 Re 2.55, 6 Cr 2.80, 3 In 2.82
In (0.0000, 0.0000, 0.0000)  6 In 2.80, 6 Cr 2.82
Re (0.5000, 0.5000, 0.5000)  6 Cr 2.55, 6 Re 2.80

---

# 6
First-principles (PBEsol) data for a relaxed structure of SiPb3, as listed in Alexandria.

formation energy from raw total energies: 24.2 kJ per mole of atoms
size of the total moment: 0.00 Bohr magnetons per cell
symmetry: P4/mmm (123)
DOS(E_F): 2.284 states/eV/f.u.

Unit cell a=3.5560 b=3.5560 c=8.3260 alpha=90.00 beta=90.00 gamma=90.00
Last column: nearest neighbours and their distance in Å.
Positions (direct):
Pb (0.0000, 0.0000, 0.2902)  4 Si 3.06
Pb (0.5000, 0.5000, 0.0000)  12 Pb 3.49-3.56
Pb (0.0000, 0.0000, 0.7098)  4 Si 3.06
Si (0.5000, 0.5000, 0.5000)  8 Pb 3.06

---

# 7
First-principles (PBEsol) data for a relaxed structure of MgAg2Au, as listed in Alexandria.

DFT formation energy: -0.201 eV/atom
size of the total moment: 0.00 Bohr magnetons per cell
symmetry: Pmmm (47)
DOS(E_F): 1.205 states/eV/f.u.

Unit cell a=3.0085 b=3.9783 c=5.7017 alpha=90.00 beta=90.00 gamma=90.00
Last column: nearest neighbours and their distance in Å.
Positions (direct):
Ag (0.0000, 0.0000, 0.7494)  4 Ag 2.84-3.01, 4 Mg 2.87, 4 Au 2.87
Ag (0.0000, 0.0000, 0.2506)  4 Ag 2.84-3.01, 4 Mg 2.87, 4 Au 2.87
Au (0.5000, 0.5000, 0.0000)  2 Mg 2.85, 8 Ag 2.87, 2 Au 3.01
Mg (0.5000, 0.5000, 0.5000)  2 Au 2.85, 8 Ag 2.87, 2 Mg 3.01

---

# 8
First-principles (PBEsol) data for a relaxed structure of KHfGa2, as listed in Alexandria.

DFT formation energy: 0.331 eV/atom
size of the total moment: 0.00 Bohr magnetons per cell
symmetry: Fm-3m (225)
DOS(E_F): 3.353 states/eV/f.u.

Unit cell a=4.9555 b=4.9555 c=4.9555 alpha=60.00 beta=60.00 gamma=60.00
Last column: nearest neighbours and their distance in Å.
Positions (direct):
K (0.0000, 0.0000, 0.0000)  8 Ga 3.03
Hf (0.5000, 0.5000, 0.5000)  8 Ga 3.03
Ga (0.2500, 0.2500, 0.2500)  4 Hf 3.03, 4 K 3.03
Ga (0.7500, 0.7500, 0.7500)  4 Hf 3.03, 4 K 3.03

---

# 9
First-principles (PBEsol) data for a relaxed structure of Zn2OsRu, as listed in Alexandria.

DFT formation energy: 0.171 eV/atom
size of the total moment: 0.00 Bohr magnetons per cell
symmetry: C2/m (12)
DOS(E_F): 3.260 states/eV/f.u.
offset from the most stable computed form: 0.06 eV/f.u.

Unit cell a=2.7146 b=4.5231 c=4.7015 alpha=100.09 beta=90.00 gamma=107.46
Last column: nearest neighbours and their distance in Å.
Positions (direct):
Os (0.5000, 0.0000, 0.0000)  6 Zn 2.64, 4 Ru 2.71, 2 Os 2.71
Ru (0.0000, 0.0000, 0.5000)  6 Zn 2.63-2.64, 4 Os 2.71, 2 Ru 2.71
Zn (0.7493, 0.4986, 0.7475)  3 Ru 2.63-2.64, 3 Os 2.64, 6 Zn 2.70-2.73
Zn (0.2507, 0.5014, 0.2525)  3 Ru 2.63-2.64, 3 Os 2.64, 6 Zn 2.70-2.73

---

# 10
First-principles (PBEsol) data for a relaxed structure of BiTeMo2, as listed in Alexandria.

formation energy from raw total energies: 129.4 kJ per mole of atoms
size of the total moment: 6.91 Bohr magnetons per cell
symmetry: I-42d (122)
DOS(E_F): 4.193 states/eV/f.u.

Unit cell a=6.2727 b=6.2727 c=7.3950 alpha=115.09 beta=115.09 gamma=90.00
Last column: nearest neighbours and their distance in Å.
Positions (direct):
Mo (0.3895, 0.8750, 0.2500)  2 Te 2.61, 2 Bi 2.72
Mo (0.8605, 0.3750, 0.2500)  2 Te 2.61, 2 Bi 2.72
Mo (0.1250, 0.1395, 0.7500)  2 Te 2.61, 2 Bi 2.72
Mo (0.6250, 0.6105, 0.7500)  2 Te 2.61, 2 Bi 2.72
Te (0.7500, 0.2500, 0.5000)  4 Mo 2.61
Te (0.5000, 0.5000, 0.0000)  4 Mo 2.61
Bi (0.2500, 0.7500, 0.5000)  4 Mo 2.72
Bi (0.0000, 0.0000, 0.0000)  4 Mo 2.72

---

# 11
First-principles (PBEsol) data for a relaxed structure of ZnSi2N, as listed in Alexandria.

formation energy from raw total energies: 9.3 kJ per mole of atoms
size of the total moment: 0.00 Bohr magnetons per cell
symmetry: I-42d (122)
DOS(E_F): 1.587 states/eV/f.u.

Unit cell a=4.8395 b=4.8395 c=5.9603 alpha=113.95 beta=113.95 gamma=90.00
Last column: nearest neighbours and their distance in Å.
Positions (direct):
Zn (0.2500, 0.7500, 0.5000)  4 Si 2.36
Zn (0.0000, 0.0000, 0.0000)  4 Si 2.36
Si (0.4602, 0.8750, 0.2500)  2 N 1.89
Si (0.7898, 0.3750, 0.2500)  2 N 1.89
Si (0.1250, 0.2102, 0.7500)  2 N 1.89
Si (0.6250, 0.5398, 0.7500)  2 N 1.89
N (0.7500, 0.2500, 0.5000)  4 Si 1.89
N (0.5000, 0.5000, 0.0000)  4 Si 1.89

---

# 12
First-principles (PBEsol) data for a relaxed structure of AlGa2H, as listed in Alexandria.

total DFT energy (no corrections): -3.146 eV per atom
size of the total moment: 0.00 Bohr magnetons per cell
symmetry: Fm-3m (225)
DOS(E_F): 1.700 states/eV/f.u.

Unit cell a=4.3410 b=4.3410 c=4.3410 alpha=60.00 beta=60.00 gamma=60.00
Last column: nearest neighbours and their distance in Å.
Positions (direct):
H (0.0000, 0.0000, 0.0000)  8 Ga 2.66
Al (0.5000, 0.5000, 0.5000)  8 Ga 2.66
Ga (0.2500, 0.2500, 0.2500)  4 Al 2.66, 4 H 2.66
Ga (0.7500, 0.7500, 0.7500)  4 H 2.66, 4 Al 2.66

---

# 13
First-principles (PBEsol) data for a relaxed structure of Fe3Sn, as listed in Alexandria.

DFT formation energy: 0.100 eV/atom
size of the total moment: 6.50 Bohr magnetons per cell
symmetry: Pm-3m (221)
DOS(E_F): 2.982 states/eV/f.u.

Unit cell a=3.7367 b=3.7367 c=3.7367 alpha=90.00 beta=90.00 gamma=90.00
Last column: nearest neighbours and their distance in Å.
Positions (direct):
Sn (0.5000, 0.5000, 0.5000)  12 Fe 2.64
Fe (0.0000, 0.0000, 0.5000)  8 Fe 2.64, 4 Sn 2.64
Fe (0.5000, 0.0000, 0.0000)  8 Fe 2.64, 4 Sn 2.64
Fe (0.0000, 0.5000, 0.0000)  8 Fe 2.64, 4 Sn 2.64

---

# 14
First-principles (PBEsol) data for a relaxed structure of In4FeSi, as listed in Alexandria.

formation energy from raw total energies: 75.4 kJ per mole of atoms
size of the total moment: 2.96 Bohr magnetons per cell
symmetry: F-43m (216)
DOS(E_F): 4.213 states/eV/f.u.

Unit cell a=5.7620 b=5.7620 c=5.7620 alpha=60.00 beta=60.00 gamma=60.00
Last column: nearest neighbours and their distance in Å.
Positions (direct):
Fe (0.0000, 0.0000, 0.0000)  12 In 3.38, 4 Si 3.53
In (0.3748, 0.3748, 0.3748)  6 In 2.88
In (0.3748, 0.3748, 0.8755)  6 In 2.88
In (0.8755, 0.3748, 0.3748)  6 In 2.88
In (0.3748, 0.8755, 0.3748)  6 In 2.88
Si (0.7500, 0.7500, 0.7500)  12 In 3.38, 4 Fe 3.53